1.
Computed, not measured: a relaxed PmPuIr2 crystal at the PBE level of DFT.

## Properties
D(E_F) (states/eV/f.u.): 9.73
Volume (Å³ per cell): 176.4
Space group: No. 63
Formation enthalpy at 0 K (meV/atom): -476
Total energy (eV/atom): -9.677
Relative energy among the computed polymorphs (meV/atom): 29

abc: 6.907 6.907 6.827
angles: 90.00 90.00 147.20
Fractional positions:
1 Pm 0.037 0.963 0.750
2 Pm 0.963 0.037 0.250
3 Pu 0.232 0.768 0.250
4 Pu 0.768 0.232 0.750
5 Ir 0.385 0.615 0.543
6 Ir 0.385 0.615 0.957
7 Ir 0.615 0.385 0.043
8 Ir 0.615 0.385 0.457

2.
Computed, not measured: a relaxed PmPu2Ir crystal at the PBE level of DFT.

## Properties
D(E_F) (states/eV/f.u.): 13.03
Volume (Å³ per cell): 839.5
Space group: No. 62
Formation enthalpy at 0 K (meV/atom): -290
Total energy (eV/atom): -10.859
Relative energy among the computed polymorphs (meV/atom): 0

abc: 14.764 9.567 5.944
angles: 90.00 90.00 90.00
Fractional positions:
1 Pm 0.108 0.250 0.241
2 Pm 0.143 0.750 0.976
3 Pm 0.357 0.250 0.476
4 Pm 0.392 0.750 0.741
5 Pm 0.608 0.250 0.259
6 Pm 0.643 0.750 0.524
7 Pm 0.857 0.250 0.024
8 Pm 0.892 0.750 0.759
9 Pu 0.037 0.056 0.745
10 Pu 0.037 0.444 0.745
11 Pu 0.213 0.558 0.462
12 Pu 0.213 0.942 0.462
13 Pu 0.287 0.058 0.962
14 Pu 0.287 0.442 0.962
15 Pu 0.463 0.556 0.245
16 Pu 0.463 0.944 0.245
17 Pu 0.537 0.056 0.755
18 Pu 0.537 0.444 0.755
19 Pu 0.713 0.558 0.038
20 Pu 0.713 0.942 0.038
21 Pu 0.787 0.058 0.538
22 Pu 0.787 0.442 0.538
23 Pu 0.963 0.556 0.255
24 Pu 0.963 0.944 0.255
25 Ir 0.070 0.750 0.495
26 Ir 0.179 0.250 0.732
27 Ir 0.321 0.750 0.232
28 Ir 0.430 0.250 0.995
29 Ir 0.570 0.750 0.005
30 Ir 0.679 0.250 0.768
31 Ir 0.821 0.750 0.268
32 Ir 0.930 0.250 0.505

3.
Computed, not measured: a relaxed PmPuIr crystal at the PBE level of DFT.

## Properties
D(E_F) (states/eV/f.u.): 10.34
Volume (Å³ per cell): 81.0
Space group: No. 216
Formation enthalpy at 0 K (meV/atom): -376
Total energy (eV/atom): -9.691
Relative energy among the computed polymorphs (meV/atom): 127

abc: 4.858 4.858 4.858
angles: 60.00 60.00 60.00
Fractional positions:
1 Pm 0.000 0.000 0.000
2 Pu 0.500 0.500 0.500
3 Ir 0.750 0.750 0.750

4.
Computed, not measured: a relaxed Pm4PuIr3 crystal at the PBE level of DFT.

## Properties
D(E_F) (states/eV/f.u.): 10.56
Volume (Å³ per cell): 383.3
Space group: No. 140
Formation enthalpy at 0 K (meV/atom): -584
Total energy (eV/atom): -8.073

abc: 8.570 8.570 8.570
angles: 96.87 96.87 139.53
Fractional positions:
1 Pm 0.085 0.787 0.872
2 Pm 0.213 0.085 0.297
3 Pm 0.287 0.585 0.872
4 Pm 0.415 0.287 0.703
5 Pm 0.585 0.713 0.297
6 Pm 0.713 0.415 0.128
7 Pm 0.787 0.915 0.703
8 Pm 0.915 0.213 0.128
9 Pu 0.250 0.750 0.500
10 Pu 0.750 0.250 0.500
11 Ir 0.154 0.346 0.500
12 Ir 0.250 0.250 0.000
13 Ir 0.346 0.846 0.192
14 Ir 0.654 0.154 0.808
15 Ir 0.750 0.750 0.000
16 Ir 0.846 0.654 0.500

5.
Computed, not measured: a relaxed PmPuIr2 crystal at the PBE level of DFT.

## Properties
D(E_F) (states/eV/f.u.): 6.20
Volume (Å³ per cell): 89.1
Space group: No. 166
Formation enthalpy at 0 K (meV/atom): -505
Total energy (eV/atom): -9.706
Relative energy among the computed polymorphs (meV/atom): 0

abc: 5.685 5.685 5.685
angles: 46.76 46.76 46.76
Fractional positions:
1 Pm 0.000 0.000 0.000
2 Pu 0.500 0.500 0.500
3 Ir 0.220 0.220 0.220
4 Ir 0.780 0.780 0.780

6.
Computed, not measured: a relaxed PmPuIrRh crystal at the PBE level of DFT.

## Properties
D(E_F) (states/eV/f.u.): 9.69
Volume (Å³ per cell): 87.8
Space group: No. 38
Formation enthalpy at 0 K (meV/atom): -573
Total energy (eV/atom): -9.397
Relative energy among the computed polymorphs (meV/atom): 0

abc: 4.070 5.887 5.887
angles: 38.47 90.00 90.00
Fractional positions:
1 Pm 0.000 0.000 0.000
2 Pu 0.500 0.719 0.719
3 Ir 0.000 0.266 0.266
4 Rh 0.500 0.443 0.443

7.
Computed, not measured: a relaxed PmPuIrRh crystal at the PBE level of DFT.

## Properties
D(E_F) (states/eV/f.u.): 9.06
Volume (Å³ per cell): 83.9
Space group: No. 216
Formation enthalpy at 0 K (meV/atom): -520
Total energy (eV/atom): -9.344
Relative energy among the computed polymorphs (meV/atom): 53

abc: 4.913 4.913 4.913
angles: 60.00 60.00 60.00
Fractional positions:
1 Pm 0.000 0.000 0.000
2 Pu 0.500 0.500 0.500
3 Ir 0.750 0.750 0.750
4 Rh 0.250 0.250 0.250

8.
Computed, not measured: a relaxed PmPuIrRu crystal at the PBE level of DFT.

## Properties
D(E_F) (states/eV/f.u.): 7.23
Volume (Å³ per cell): 82.4
Space group: No. 216
Formation enthalpy at 0 K (meV/atom): -294
Total energy (eV/atom): -9.599

abc: 4.885 4.885 4.885
angles: 60.00 60.00 60.00
Fractional positions:
1 Pm 0.000 0.000 0.000
2 Pu 0.500 0.500 0.500
3 Ir 0.250 0.250 0.250
4 Ru 0.750 0.750 0.750

9.
Computed, not measured: a relaxed PmPuSiIr crystal at the PBE level of DFT.

## Properties
Formation energy from raw total energies (eV per atom): -0.35
D(E_F) (states/eV/f.u.): 7.85
Volume (Å³ per cell): 87.4
Space group: No. 216
Total energy (eV/atom): -8.692

abc: 4.982 4.982 4.982
angles: 60.00 60.00 60.00
Fractional positions:
1 Pm 0.000 0.000 0.000
2 Pu 0.500 0.500 0.500
3 Si 0.750 0.750 0.750
4 Ir 0.250 0.250 0.250

10.
Computed, not measured: a relaxed PmPuZnIr crystal at the PBE level of DFT.

## Properties
D(E_F) (states/eV/f.u.): 8.18
Volume (Å³ per cell): 88.1
Space group: No. 216
Formation enthalpy at 0 K (meV/atom): -355
Total energy (eV/atom): -7.659

abc: 4.994 4.994 4.994
angles: 60.00 60.00 60.00
Fractional positions:
1 Pm 0.000 0.000 0.000
2 Pu 0.500 0.500 0.500
3 Zn 0.250 0.250 0.250
4 Ir 0.750 0.750 0.750

11.
Computed, not measured: a relaxed RbPm2Ir crystal at the PBE level of DFT.

## Properties
D(E_F) (states/eV/f.u.): 3.77
Volume (Å³ per cell): 178.2
Space group: No. 166
Formation enthalpy at 0 K (meV/atom): -274
Total energy (eV/atom): -5.106
Relative energy among the computed polymorphs (meV/atom): 0

abc: 11.698 11.698 11.698
angles: 20.89 20.89 20.89
Fractional positions:
1 Rb 0.000 0.000 0.000
2 Pm 0.125 0.125 0.125
3 Pm 0.875 0.875 0.875
4 Ir 0.500 0.500 0.500

12.
Computed, not measured: a relaxed RbPm2Ir crystal at the PBE level of DFT.

## Properties
D(E_F) (states/eV/f.u.): 2.71
Volume (Å³ per cell): 145.2
Space group: No. 123
Formation enthalpy at 0 K (meV/atom): -174
Total energy (eV/atom): -5.006
Relative energy among the computed polymorphs (meV/atom): 100

abc: 3.638 3.638 10.970
angles: 90.00 90.00 90.00
Fractional positions:
1 Rb 0.000 0.000 0.000
2 Pm 0.500 0.500 0.354
3 Pm 0.500 0.500 0.646
4 Ir 0.000 0.000 0.500